No. 1
# CsPdSeBr2

An optimized crystal structure of CsPdSeBr2 (GGA-PBE, the Alexandria database).

Summary:
N(E_F)   0.594 states/eV/atom
E_tot   -3.227 eV per atom
Energy above the lowest structure with this stoichiometry   0.0 kJ/mol of atoms

a b c (Å): 5.502 5.502 4.972
angles (deg): 90.00 90.00 90.00
Last column: magnetic moment on the atom in μB.
Sites, in units of the cell vectors:
Cs (0.500, 0.500, 0.500)  0.01
Se (0.000, 0.000, 0.500)  0.47
Br (0.000, 0.500, 0.000)  0.04
Br (0.500, 0.000, 0.000)  0.04
Pd (0.000, 0.000, 0.000)  0.21



No. 2
# Zr2AgRh

An optimized crystal structure of Zr2AgRh (GGA-PBE, the Alexandria database).

Summary:
Energy of formation   -91.6 meV per atom
N(E_F)   0.833 states/eV/atom
E_tot   -6.916 eV per atom

a b c (Å): 3.026 5.667 5.674
angles (deg): 52.99 90.00 90.00
Sites, in units of the cell vectors:
Ag (0.500, 0.500, 0.500)
Rh (0.000, 0.000, 0.500)
Zr (0.000, 0.000, 0.000)
Zr (0.500, 0.500, 0.000)



No. 3
# LaMoPt2

An optimized crystal structure of LaMoPt2 (GGA-PBE, the Alexandria database).

Summary:
Energy of formation   -346.6 meV per atom
N(E_F)   1.168 states/eV/atom
E_tot   -7.307 eV per atom
Energy above the lowest structure with this stoichiometry   15.5 kJ/mol of atoms

a b c (Å): 2.956 2.956 8.524
angles (deg): 90.00 90.00 89.99
Sites, in units of the cell vectors:
La (0.500, 0.500, 0.250)
Mo (0.500, 0.500, 0.750)
Pt (0.000, 0.000, 0.963)
Pt (0.000, 0.000, 0.537)



No. 4
# Zn2TcCl

An optimized crystal structure of Zn2TcCl (GGA-PBE, the Alexandria database).

Summary:
N(E_F)   0.576 states/eV/atom
E_tot   -3.649 eV per atom
Energy above the lowest structure with this stoichiometry   0.0 kJ/mol of atoms

a b c (Å): 2.947 2.985 7.662
angles (deg): 89.97 90.00 90.00
Last column: magnetic moment on the atom in μB.
Sites, in units of the cell vectors:
Cl (0.500, 0.250, 0.250)  0.00
Tc (0.500, 0.750, 0.750)  1.07
Zn (0.000, 0.250, 0.976)  0.01
Zn (0.000, 0.250, 0.524)  0.01



No. 5
# Nd4CdSn2

An optimized crystal structure of Nd4CdSn2 (GGA-PBE, the Alexandria database).

Summary:
Energy of formation   -434.3 meV per atom
N(E_F)   1.201 states/eV/atom
E_tot   -4.433 eV per atom

a b c (Å): 5.959 6.716 11.220
angles (deg): 90.00 108.96 90.00
Sites, in units of the cell vectors:
Nd (0.574, 0.513, 0.264)
Nd (0.036, 0.750, 0.877)
Nd (0.964, 0.250, 0.123)
Nd (0.574, 0.987, 0.264)
Nd (0.807, 0.250, 0.549)
Nd (0.426, 0.013, 0.736)
Nd (0.426, 0.487, 0.736)
Nd (0.193, 0.750, 0.451)
Cd (0.062, 0.750, 0.170)
Cd (0.938, 0.250, 0.830)
Sn (0.602, 0.750, 0.000)
Sn (0.398, 0.250, 0.000)
Sn (0.229, 0.250, 0.431)
Sn (0.771, 0.750, 0.569)



No. 6
# Ba2TaBr

An optimized crystal structure of Ba2TaBr (GGA-PBE, the Alexandria database).

Summary:
N(E_F)   0.953 states/eV/atom
E_tot   -4.037 eV per atom
Energy above the lowest structure with this stoichiometry   18.8 kJ/mol of atoms

a b c (Å): 7.140 7.140 7.140
angles (deg): 151.16 130.94 57.91
Last column: magnetic moment on the atom in μB.
Sites, in units of the cell vectors:
Ba (0.029, 0.029, 0.000)  0.02
Ba (0.721, 0.221, 0.500)  0.00
Br (0.466, 0.466, 0.000)  0.01
Ta (0.284, 0.784, 0.500)  0.86



No. 7
# GdDyTiAl

An optimized crystal structure of GdDyTiAl (GGA-PBE, the Alexandria database).

Summary:
Energy of formation   -49.8 meV per atom
N(E_F)   1.383 states/eV/atom
E_tot   -7.630 eV per atom

a b c (Å): 5.156 5.156 5.156
angles (deg): 60.00 60.00 60.00
Last column: magnetic moment on the atom in μB.
Sites, in units of the cell vectors:
Gd (0.500, 0.500, 0.500)  7.26
Ti (0.250, 0.250, 0.250)  1.49
Al (0.750, 0.750, 0.750)  -0.03
Dy (0.000, 0.000, 0.000)  0.24



No. 8
# NbTl2Re

An optimized crystal structure of NbTl2Re (GGA-PBE, the Alexandria database).

Summary:
Energy of formation   930.9 meV per atom
N(E_F)   0.729 states/eV/atom
E_tot   -5.882 eV per atom
Energy above the lowest structure with this stoichiometry   0.0 kJ/mol of atoms

a b c (Å): 4.773 4.773 4.773
angles (deg): 60.00 60.00 60.00
Sites, in units of the cell vectors:
Re (0.500, 0.500, 0.500)
Tl (0.250, 0.250, 0.250)
Tl (0.750, 0.750, 0.750)
Nb (0.000, 0.000, 0.000)